No. 1
Below is a relaxed structure of La2AuI, with properties calculated at the PBE level.

Structure (POSCAR):
```
La2AuI
1.0
-5.881 1.980 5.603
3.462 -5.264 5.495
0.994 1.180 6.864
I Au La
2 2 4
direct
0.500 0.500 0.000
0.250 0.750 0.500
0.000 0.000 0.000
0.750 0.250 0.500
0.650 0.125 0.250
0.100 0.625 0.250
0.375 0.350 0.750
0.875 0.900 0.750
```

Output
Uncorrected formation energy: -0.653 eV/atom
ΔE to the lowest computed polymorph: 100 kJ/mol of formula units
Size of the total moment: 0.00 μB/f.u.
Calculated volume: 266.6 Å³/cell

---

No. 2
Below is a relaxed structure of Zr2CuSn2, with properties calculated at the PBE level.

Structure (POSCAR):
```
Zr2CuSn2
1.0
7.124 0.000 0.000
0.000 7.124 0.000
0.000 0.000 4.442
Cu Sn Zr
2 4 4
direct
0.000 0.000 0.000
0.500 0.500 0.000
0.150 0.650 0.500
0.650 0.850 0.500
0.850 0.350 0.500
0.350 0.150 0.500
0.338 0.838 0.000
0.838 0.662 0.000
0.662 0.162 0.000
0.162 0.338 0.000
```

Output
ΔE to the lowest computed polymorph: 49 kJ/mol of formula units
Size of the total moment: 0.00 μB/f.u.
Calculated volume: 225.5 Å³/cell

---

No. 3
Below is a relaxed structure of PmNdGaPt, with properties calculated at the PBE level.

Structure (POSCAR):
```
PmNdGaPt
1.0
5.165 0.000 0.000
2.583 4.473 0.000
2.583 1.491 4.217
Nd Ga Pt Pm
1 1 1 1
direct
0.500 0.500 0.500
0.250 0.250 0.250
0.750 0.750 0.750
0.000 0.000 0.000
```

Output
ΔE to the lowest computed polymorph: 43 kJ/mol of formula units
Size of the total moment: 0.00 μB/f.u.
Calculated volume: 97.4 Å³/cell

---

No. 4
Below is a relaxed structure of KTaCu, with properties calculated at the PBE level.

Structure (POSCAR):
```
KTaCu
1.0
-2.281 0.761 -4.423
-4.472 -2.121 -0.924
-4.140 2.856 -0.239
Cu K Ta
1 1 1
direct
0.500 0.500 0.500
0.750 0.750 0.750
0.000 0.000 0.000
```

Output
ΔE to the lowest computed polymorph: 526 kJ/mol of formula units
Size of the total moment: 3.39 μB/f.u.
Calculated volume: 90.2 Å³/cell

---

No. 5
Below is a relaxed structure of Ba5Na2Ru3O14, with properties calculated at the PBE level.

Structure (POSCAR):
```
Ba5Na2Ru3O14
1.0
-2.506 20.926 -12.895
2.994 -2.407 -4.489
-2.980 -2.973 -4.246
Ba Na Ru O
10 4 6 28
direct
0.441 0.668 0.644
0.557 0.322 0.379
0.941 0.332 0.356
0.057 0.678 0.621
0.336 0.996 0.974
0.665 0.989 0.029
0.836 0.004 0.026
0.165 0.011 0.971
0.251 0.336 0.309
0.751 0.664 0.691
0.403 0.335 0.317
0.599 0.674 0.690
0.903 0.665 0.683
0.099 0.326 0.310
0.306 0.660 0.646
0.693 0.323 0.361
0.806 0.340 0.354
0.193 0.677 0.639
0.498 0.994 0.017
0.998 0.006 0.983
0.442 0.761 0.131
0.558 0.926 0.882
0.942 0.239 0.869
0.058 0.074 0.118
0.465 0.178 0.674
0.533 0.817 0.360
0.965 0.822 0.326
0.033 0.183 0.640
0.350 0.968 0.489
0.651 0.468 0.527
0.850 0.032 0.511
0.151 0.532 0.473
0.247 0.366 0.794
0.751 0.180 0.204
0.747 0.634 0.206
0.251 0.820 0.796
0.344 0.492 0.495
0.656 0.001 0.516
0.844 0.508 0.505
0.156 0.999 0.484
0.347 0.494 0.959
0.650 0.463 0.056
0.847 0.506 0.041
0.150 0.537 0.944
0.250 0.819 0.343
0.750 0.181 0.657
0.491 0.288 0.047
0.991 0.712 0.953
```

Output
Uncorrected formation energy: -1.872 eV/atom
Size of the total moment: 7.98 μB/f.u.
Calculated volume: 761.0 Å³/cell

---

No. 6
Below is a relaxed structure of AcDy2Ag, with properties calculated at the PBE level.

Structure (POSCAR):
```
AcDy2Ag
1.0
5.561 0.000 0.000
2.781 4.816 0.000
2.781 1.605 4.541
Ac Ag Dy
1 1 2
direct
0.000 0.000 0.000
0.500 0.500 0.500
0.250 0.250 0.250
0.750 0.750 0.750
```

Output
ΔE to the lowest computed polymorph: 109 kJ/mol of formula units
Size of the total moment: 0.00 μB/f.u.
Calculated volume: 121.6 Å³/cell

---

No. 7
Below is a relaxed structure of KZnCl2, with properties calculated at the PBE level.

Structure (POSCAR):
```
KZnCl2
1.0
3.686 0.000 0.000
0.000 3.689 0.000
0.000 0.000 7.189
Zn K Cl
1 1 2
direct
0.500 0.500 0.750
0.500 0.500 0.250
0.000 0.000 0.979
0.000 0.000 0.521
```

Output
Uncorrected formation energy: -0.902 eV/atom
ΔE to the lowest computed polymorph: 87 kJ/mol of formula units
Size of the total moment: 0.06 μB/f.u.
Calculated volume: 97.8 Å³/cell

---

No. 8
Below is a relaxed structure of La5CdIn6, with properties calculated at the PBE level.

Structure (POSCAR):
```
La5CdIn6
1.0
0.428 2.433 -4.876
7.856 -0.360 0.510
-4.241 -8.459 -1.529
Cd In La
1 6 5
direct
0.000 0.000 0.000
0.159 0.398 0.317
0.159 0.919 0.317
0.500 0.237 0.000
0.500 0.763 0.000
0.841 0.081 0.683
0.841 0.602 0.683
0.335 0.835 0.669
0.667 0.667 0.335
0.000 0.500 0.000
0.333 0.333 0.665
0.665 0.165 0.331
```

Output
Calculated total energy: -47.17 eV per formula unit
Size of the total moment: 0.00 μB/f.u.
Calculated volume: 357.5 Å³/cell

---

No. 9
Below is a relaxed structure of Pm4ZnAg, with properties calculated at the PBE level.

Structure (POSCAR):
```
Pm4ZnAg
1.0
5.077 0.000 -0.002
0.000 5.078 -0.004
0.002 0.003 7.297
Pm Zn Ag
4 1 1
direct
0.501 0.997 0.257
0.501 0.998 0.740
0.001 0.497 0.740
0.001 0.497 0.257
0.001 0.997 0.498
0.501 0.497 0.998
```

Output
ΔE to the lowest computed polymorph: 132 kJ/mol of formula units
Size of the total moment: 0.00 μB/f.u.
Calculated volume: 188.1 Å³/cell

---

What did the ninth record say?
Below is a relaxed structure of Pm4ZnAg, with properties calculated at the PBE level.

Structure (POSCAR):
```
Pm4ZnAg
1.0
5.077 0.000 -0.002
0.000 5.078 -0.004
0.002 0.003 7.297
Pm Zn Ag
4 1 1
direct
0.501 0.997 0.257
0.501 0.998 0.740
0.001 0.497 0.740
0.001 0.497 0.257
0.001 0.997 0.498
0.501 0.497 0.998
```

Output
ΔE to the lowest computed polymorph: 132 kJ/mol of formula units
Size of the total moment: 0.00 μB/f.u.
Calculated volume: 188.1 Å³/cell